A plane-wave DFT calculation with SCAN was carried out for a crystal of TaCdMo4 relaxed with PBEsol.

## Properties
* calculated total energy: -234.94 eV per cell
* density of states at the Fermi level: 0.99 states/eV/atom
* DFT formation energy: 0.266 eV per atom
* M_tot: 0.0 μB/f.u.

Structure (CIF):
```
data_TaCdMo4
_chemical_formula_sum 'Ta1 Cd1 Mo4'
_cell_length_a 5.2144
_cell_length_b 5.2144
_cell_length_c 5.2144
_cell_angle_alpha 60.00
_cell_angle_beta 60.00
_cell_angle_gamma 60.00
_space_group_name_H-M_alt 'P 1'
_space_group_IT_number 1
loop_
_space_group_symop_operation_xyz
'x,y,z'
loop_
_atom_site_label
_atom_site_type_symbol
_atom_site_fract_x
_atom_site_fract_y
_atom_site_fract_z
_atom_site_occupancy
Cd1 Cd 0.0000 0.0000 0.0000 1
Mo1 Mo 0.3743 0.3743 0.3743 1
Mo2 Mo 0.3743 0.3743 0.8772 1
Mo3 Mo 0.8772 0.3743 0.3743 1
Mo4 Mo 0.3743 0.8772 0.3743 1
Ta1 Ta 0.7500 0.7500 0.7500 1
```